Entry 1:
Below is a relaxed Tb6C3S2Cl crystal, with properties calculated at the PBE level.

a b c (Å): 3.7240 7.7749 8.6114
angles (deg): 106.37 102.49 90.00
Fractional coordinates of all 12 atoms:
Tb (0.3215, 0.9377, 0.6429)
Tb (0.6598, 0.6025, 0.3197)
Tb (0.6785, 0.0623, 0.3571)
Tb (0.9896, 0.2816, 0.9791)
Tb (0.0104, 0.7184, 0.0209)
Tb (0.3402, 0.3975, 0.6803)
C (0.5000, 0.5000, 0.0000)
C (0.8334, 0.1668, 0.6668)
C (0.1666, 0.8332, 0.3332)
S (0.8362, 0.6723, 0.6724)
S (0.1638, 0.3277, 0.3276)
Cl (0.5000, 0.0000, 0.0000)

Calculated values
* space group: C2/m, No. 12
* E: -80.4 eV/cell
* magnetic moment: 0.0 μB per formula unit

---

Entry 2:
Below is a relaxed KZrRe crystal, with properties calculated at the PBE level.

a b c (Å): 4.7490 4.7490 4.7490
angles (deg): 60.00 60.00 60.00
Fractional coordinates of all 3 atoms:
K (0.5000, 0.5000, 0.5000)
Re (0.7500, 0.7500, 0.7500)
Zr (0.0000, 0.0000, 0.0000)

Calculated values
* space group: F-43m, No. 216
* E: -17.2 eV/cell
* energy relative to the elements: 4.883 eV per formula unit
* magnetic moment: 0.0 μB per formula unit

---

Entry 3:
Below is a relaxed Ta4AsW crystal, with properties calculated at the PBE level.

a b c (Å): 5.3855 5.3855 5.3855
angles (deg): 60.00 60.00 60.00
Fractional coordinates of all 6 atoms:
Ta (0.8743, 0.3752, 0.3752)
Ta (0.3752, 0.3752, 0.8743)
Ta (0.3752, 0.8743, 0.3752)
Ta (0.3752, 0.3752, 0.3752)
As (0.0000, 0.0000, 0.0000)
W (0.7500, 0.7500, 0.7500)

Calculated values
* space group: F-43m, No. 216
* E: -61.6 eV/cell
* energy relative to the elements: 3.397 eV per formula unit
* magnetic moment: 0.0 μB per formula unit

---

Entry 4:
Below is a relaxed K3GaSn crystal, with properties calculated at the PBE level.

a b c (Å): 8.5996 8.5996 8.2438
angles (deg): 110.07 120.03 101.03
Fractional coordinates of all 10 atoms:
K (0.8260, 0.0289, 0.2430)
K (0.2141, 0.4170, 0.2430)
K (0.7859, 0.5830, 0.7570)
K (0.7174, 0.4474, 0.1648)
K (0.1740, 0.9711, 0.7570)
K (0.2826, 0.5526, 0.8352)
Ga (0.6201, 0.7877, 0.4078)
Ga (0.3799, 0.2123, 0.5922)
Sn (0.6684, 0.0702, 0.7386)
Sn (0.3316, 0.9298, 0.2614)

Calculated values
* space group: C2/m, No. 12
* E: -20.9 eV/cell
* energy relative to the elements: -0.123 eV per formula unit
* magnetic moment: 0.3 μB per formula unit

---

Entry 5:
Below is a relaxed ZrTc2Br crystal, with properties calculated at the PBE level.

a b c (Å): 5.6279 5.6279 5.6279
angles (deg): 141.09 141.09 56.20
Fractional coordinates of all 4 atoms:
Br (0.7500, 0.2500, 0.5000)
Tc (0.0000, 0.0000, 0.0000)
Tc (0.5000, 0.5000, 0.0000)
Zr (0.2500, 0.7500, 0.5000)

Calculated values
* space group: I4/mmm, No. 139
* E: -29.0 eV/cell
* magnetic moment: 0.0 μB per formula unit

---

Entry 6:
Below is a relaxed BeRh3 crystal, with properties calculated at the PBE level.

a b c (Å): 5.3039 5.3039 4.2769
angles (deg): 90.00 90.00 120.00
Fractional coordinates of all 8 atoms:
Be (0.3333, 0.6667, 0.2500)
Be (0.6667, 0.3333, 0.7500)
Rh (0.8295, 0.6591, 0.2500)
Rh (0.3409, 0.1705, 0.2500)
Rh (0.8295, 0.1705, 0.2500)
Rh (0.1705, 0.3409, 0.7500)
Rh (0.6591, 0.8295, 0.7500)
Rh (0.1705, 0.8295, 0.7500)

Calculated values
* space group: P6_3/mmc, No. 194
* E: -52.5 eV/cell
* energy relative to the elements: -0.473 eV per formula unit
* magnetic moment: 0.0 μB per formula unit